[1]
Computed, not measured: a relaxed structure of PmSiGeIr at the PBE level of DFT.

```
8
Lattice="4.143 0.000 0.000 0.000 4.143 0.000 0.000 0.000 9.179" Properties=species:S:1:pos:R:3 pbc="T T T"
Pm 1.036 1.036 1.959
Pm 3.107 3.107 7.220
Si 1.036 1.036 5.838
Si 3.107 3.107 3.341
Ge 1.036 1.036 8.218
Ge 3.107 3.107 0.961
Ir 1.036 3.107 4.590
Ir 3.107 1.036 4.590
```

Values from the calculation:
Raw formation energy, eV/atom: -0.783

***

[2]
Computed, not measured: a relaxed structure of Pm2Si4GeIr3 at the PBE level of DFT.

```
10
Lattice="4.246 0.000 0.000 0.000 4.246 0.000 0.000 0.000 9.841" Properties=species:S:1:pos:R:3 pbc="T T T"
Pm 0.000 2.123 2.401
Pm 2.123 0.000 7.439
Si 0.000 0.000 0.000
Si 0.000 2.123 6.295
Si 2.123 0.000 3.545
Si 2.123 2.123 0.000
Ge 0.000 0.000 4.920
Ir 0.000 2.123 8.652
Ir 2.123 0.000 1.189
Ir 2.123 2.123 4.920
```

Values from the calculation:
Raw formation energy, eV/atom: -0.847

***

[3]
Computed, not measured: a relaxed structure of PmSmGeIr at the PBE level of DFT.

```
4
Lattice="4.182 0.000 0.000 0.000 2.111 5.405 0.000 -2.111 5.405" Properties=species:S:1:pos:R:3 pbc="T T T"
Pm 0.000 0.000 0.000
Sm 2.091 0.000 7.777
Ge 0.000 0.000 3.137
Ir 2.091 0.000 4.742
```

Values from the calculation:
E above lowest polymorph, eV per atom: 0.0000
Formation enthalpy at 0 K, kJ/mol of formula units: -305

***

[4]
Computed, not measured: a relaxed structure of Pm2SmGe3Ir4 at the PBE level of DFT.

```
10
Lattice="4.207 0.000 0.000 0.000 4.207 0.000 0.000 0.000 11.333" Properties=species:S:1:pos:R:3 pbc="T T T"
Pm 0.000 2.104 2.573
Pm 2.104 0.000 8.759
Sm 0.000 0.000 5.666
Ge 0.000 2.104 9.968
Ge 2.104 0.000 1.365
Ge 2.104 2.104 5.666
Ir 0.000 0.000 0.000
Ir 0.000 2.104 7.522
Ir 2.104 0.000 3.810
Ir 2.104 2.104 0.000
```

Values from the calculation:
Formation enthalpy at 0 K, kJ/mol of formula units: -721

***

[5]
Computed, not measured: a relaxed structure of PmSmGeIr at the PBE level of DFT.

```
4
Lattice="0.000 3.594 3.594 3.594 0.000 3.594 3.594 3.594 0.000" Properties=species:S:1:pos:R:3 pbc="T T T"
Pm 0.000 0.000 0.000
Sm 3.594 3.594 3.594
Ge 5.391 5.391 5.391
Ir 1.797 1.797 1.797
```

Values from the calculation:
E above lowest polymorph, eV per atom: 0.2048
Formation enthalpy at 0 K, kJ/mol of formula units: -226

***

[6]
Computed, not measured: a relaxed structure of Pm2SnGe4Ir3 at the PBE level of DFT.

```
10
Lattice="4.325 0.000 0.000 0.000 4.325 0.000 0.000 0.000 10.513" Properties=species:S:1:pos:R:3 pbc="T T T"
Pm 0.000 2.162 2.485
Pm 2.162 0.000 8.028
Sn 0.000 0.000 5.256
Ge 0.000 0.000 0.000
Ge 0.000 2.162 6.886
Ge 2.162 0.000 3.626
Ge 2.162 2.162 0.000
Ir 0.000 2.162 9.282
Ir 2.162 0.000 1.231
Ir 2.162 2.162 5.256
```

Values from the calculation:
Formation enthalpy at 0 K, kJ/mol of formula units: -589

***

[7]
Computed, not measured: a relaxed structure of Pm2Sn3GeIr4 at the PBE level of DFT.

```
10
Lattice="4.434 0.000 0.000 0.000 4.434 0.000 0.000 0.000 10.737" Properties=species:S:1:pos:R:3 pbc="T T T"
Pm 0.000 2.217 2.616
Pm 2.217 0.000 8.121
Sn 0.000 0.000 0.000
Sn 0.000 2.217 6.817
Sn 2.217 0.000 3.920
Ge 2.217 2.217 0.000
Ir 0.000 0.000 5.369
Ir 0.000 2.217 9.403
Ir 2.217 0.000 1.335
Ir 2.217 2.217 5.369
```

Values from the calculation:
Formation enthalpy at 0 K, kJ/mol of formula units: -545

***

[8]
Computed, not measured: a relaxed structure of Pm2TcGe6Ir at the PBE level of DFT.

```
20
Lattice="3.773 2.178 9.205 -3.773 2.178 9.205 0.000 -4.357 9.205" Properties=species:S:1:pos:R:3 pbc="T T T"
Pm 0.000 0.000 3.766
Pm 0.000 0.000 7.918
Pm 0.000 0.000 19.696
Pm 0.000 0.000 23.848
Tc 0.000 0.000 0.000
Tc 0.000 0.000 13.807
Ge -1.810 -1.045 12.441
Ge 0.000 -2.381 10.666
Ge -2.062 1.191 10.666
Ge -2.062 -1.191 16.948
Ge 0.000 -2.090 15.173
Ge -1.810 1.045 15.173
Ge 1.810 -1.045 12.441
Ge 0.000 2.090 12.441
Ge 2.062 1.191 10.666
Ge 2.062 -1.191 16.948
Ge 0.000 2.381 16.948
Ge 1.810 1.045 15.173
Ir 0.000 0.000 10.815
Ir 0.000 0.000 16.799
```

Values from the calculation:
Formation enthalpy at 0 K, kJ/mol of formula units: -190

***

[9]
Computed, not measured: a relaxed structure of Pm2TcGe3Ir4 at the PBE level of DFT.

```
10
Lattice="4.226 0.000 0.000 0.000 4.226 0.000 0.000 0.000 10.387" Properties=species:S:1:pos:R:3 pbc="T T T"
Pm 0.000 2.113 2.560
Pm 2.113 0.000 7.827
Tc 0.000 0.000 5.193
Ge 0.000 2.113 9.021
Ge 2.113 0.000 1.366
Ge 2.113 2.113 5.193
Ir 0.000 0.000 0.000
Ir 0.000 2.113 6.557
Ir 2.113 0.000 3.829
Ir 2.113 2.113 0.000
```

Values from the calculation:
Formation enthalpy at 0 K, kJ/mol of formula units: -633

***

[10]
Computed, not measured: a relaxed structure of Pm4GeTe2Ir at the PBE level of DFT.

```
8
Lattice="7.417 0.000 0.000 0.000 4.303 0.000 -2.495 0.000 7.376" Properties=species:S:1:pos:R:3 pbc="T T T"
Pm 1.206 0.000 1.577
Pm -0.095 2.151 5.783
Pm 5.017 2.151 1.593
Pm 3.716 0.000 5.799
Ge 3.708 0.000 0.000
Te -1.247 0.000 3.688
Te 2.461 2.151 3.688
Ir 0.000 2.151 0.000
```

Values from the calculation:
Raw formation energy, eV/atom: -1.091

***

[11]
Computed, not measured: a relaxed structure of Pm6GeTe3Ir2 at the PBE level of DFT.

```
12
Lattice="3.682 -6.391 0.000 3.682 6.391 0.000 -2.479 0.000 7.441" Properties=species:S:1:pos:R:3 pbc="T T T"
Pm -0.052 2.200 5.840
Pm 1.152 0.000 1.588
Pm -0.052 -2.200 5.840
Pm 4.937 2.200 1.601
Pm 3.733 0.000 5.852
Pm 4.937 -2.200 1.601
Ge 3.682 0.000 0.000
Te -1.240 0.000 3.720
Te 2.442 2.088 3.720
Te 2.442 -2.088 3.720
Ir 3.682 4.257 0.000
Ir 3.682 -4.257 0.000
```

Values from the calculation:
Raw formation energy, eV/atom: -1.060

***

[12]
Computed, not measured: a relaxed structure of PmThGeIr at the PBE level of DFT.

```
4
Lattice="0.000 3.622 3.622 3.622 0.000 3.622 3.622 3.622 0.000" Properties=species:S:1:pos:R:3 pbc="T T T"
Pm 0.000 0.000 0.000
Th 3.622 3.622 3.622
Ge 1.811 1.811 1.811
Ir 5.433 5.433 5.433
```

Values from the calculation:
Formation enthalpy at 0 K, kJ/mol of formula units: -213

***

[13]
Computed, not measured: a relaxed structure of Pm2ThGe3Ir4 at the PBE level of DFT.

```
10
Lattice="4.281 0.000 0.000 0.000 4.281 0.000 0.000 0.000 11.196" Properties=species:S:1:pos:R:3 pbc="T T T"
Pm 0.000 2.140 2.455
Pm 2.140 0.000 8.741
Th 0.000 0.000 5.598
Ge 0.000 2.140 9.835
Ge 2.140 0.000 1.361
Ge 2.140 2.140 5.598
Ir 0.000 0.000 0.000
Ir 0.000 2.140 7.375
Ir 2.140 0.000 3.821
Ir 2.140 2.140 0.000
```

Values from the calculation:
Formation enthalpy at 0 K, kJ/mol of formula units: -729

***

[14]
Computed, not measured: a relaxed structure of Pm2TiGe3Ir4 at the PBE level of DFT.

```
10
Lattice="4.162 0.000 0.000 0.000 4.162 0.000 0.000 0.000 10.748" Properties=species:S:1:pos:R:3 pbc="T T T"
Pm 0.000 2.081 2.600
Pm 2.081 0.000 8.148
Ti 0.000 0.000 5.374
Ge 0.000 2.081 9.364
Ge 2.081 0.000 1.385
Ge 2.081 2.081 5.374
Ir 0.000 0.000 0.000
Ir 0.000 2.081 6.877
Ir 2.081 0.000 3.871
Ir 2.081 2.081 0.000
```

Values from the calculation:
Formation enthalpy at 0 K, kJ/mol of formula units: -791

***

[15]
Computed, not measured: a relaxed structure of PmTmGeIr at the PBE level of DFT.

```
4
Lattice="4.080 0.000 0.000 0.000 2.074 5.403 0.000 -2.074 5.403" Properties=species:S:1:pos:R:3 pbc="T T T"
Pm 0.000 0.000 0.000
Tm 2.040 0.000 3.039
Ge 2.040 0.000 6.230
Ir 0.000 0.000 7.860
```

Values from the calculation:
E above lowest polymorph, eV per atom: 0.0000
Formation enthalpy at 0 K, kJ/mol of formula units: -318

***

[16]
Computed, not measured: a relaxed structure of PmTmGeIr at the PBE level of DFT.

```
4
Lattice="0.000 3.532 3.532 3.532 0.000 3.532 3.532 3.532 0.000" Properties=species:S:1:pos:R:3 pbc="T T T"
Pm 0.000 0.000 0.000
Tm 3.532 3.532 3.532
Ge 5.298 5.298 5.298
Ir 1.766 1.766 1.766
```

Values from the calculation:
E above lowest polymorph, eV per atom: 0.1819
Formation enthalpy at 0 K, kJ/mol of formula units: -248

***

[17]
Computed, not measured: a relaxed structure of PmUGeIr at the PBE level of DFT.

```
4
Lattice="0.000 3.542 3.542 3.542 0.000 3.542 3.542 3.542 0.000" Properties=species:S:1:pos:R:3 pbc="T T T"
Pm 0.000 0.000 0.000
U 3.542 3.542 3.542
Ge 1.771 1.771 1.771
Ir 5.314 5.314 5.314
```

Values from the calculation:
Formation enthalpy at 0 K, kJ/mol of formula units: -103

***

[18]
Computed, not measured: a relaxed structure of Pm2VGe4Ir3 at the PBE level of DFT.

```
10
Lattice="4.265 0.000 0.000 0.000 4.265 0.000 0.000 0.000 10.318" Properties=species:S:1:pos:R:3 pbc="T T T"
Pm 0.000 2.133 2.535
Pm 2.133 0.000 7.782
V 0.000 0.000 5.159
Ge 0.000 0.000 0.000
Ge 0.000 2.133 6.552
Ge 2.133 0.000 3.766
Ge 2.133 2.133 0.000
Ir 0.000 2.133 9.034
Ir 2.133 0.000 1.284
Ir 2.133 2.133 5.159
```

Values from the calculation:
Formation enthalpy at 0 K, kJ/mol of formula units: -643

***

[19]
Computed, not measured: a relaxed structure of PmYGeIr at the PBE level of DFT.

```
4
Lattice="0.000 3.560 3.560 3.560 0.000 3.560 3.560 3.560 0.000" Properties=species:S:1:pos:R:3 pbc="T T T"
Pm 0.000 0.000 0.000
Y 3.560 3.560 3.560
Ge 1.780 1.780 1.780
Ir 5.340 5.340 5.340
```

Values from the calculation:
E above lowest polymorph, eV per atom: 0.1848
Formation enthalpy at 0 K, kJ/mol of formula units: -243

***

[20]
Computed, not measured: a relaxed structure of PmYGeIr at the PBE level of DFT.

```
4
Lattice="4.147 0.000 0.000 0.000 2.092 5.378 0.000 -2.092 5.378" Properties=species:S:1:pos:R:3 pbc="T T T"
Pm 0.000 0.000 0.000
Y 2.074 0.000 3.023
Ge 2.074 0.000 6.178
Ir 0.000 0.000 7.779
```

Values from the calculation:
E above lowest polymorph, eV per atom: 0.0000
Formation enthalpy at 0 K, kJ/mol of formula units: -314

***

| no. | N(E_F) (states/eV/cell) |
| --- | --- |
| 1 | 3.8 |
| 2 | 2.7 |
| 3 | 2.3 |
| 4 | 5.2 |
| 5 | 2.9 |
| 6 | 3.8 |
| 7 | 5.0 |
| 8 | 11.9 |
| 9 | 6.9 |
| 10 | 4.1 |
| 11 | 7.2 |
| 12 | 4.3 |
| 13 | 3.8 |
| 14 | 5.5 |
| 15 | 2.5 |
| 16 | 2.9 |
| 17 | 8.9 |
| 18 | 6.8 |
| 19 | 2.8 |
| 20 | 2.6 |